Material: Dy3Co3Ge8
Method: DFT, PBE-GGA
State: relaxed

Cell lengths 9.186, 9.186, 7.768 Å; angles 112.33, 112.33, 25.00 degrees
Fractional coordinates of all 14 atoms:
Dy (0.000, 0.000, 0.000)
Dy (0.252, 0.252, 0.308)
Dy (0.748, 0.748, 0.692)
Co (0.000, 0.000, 0.500)
Co (0.347, 0.347, 0.013)
Co (0.653, 0.653, 0.987)
Ge (0.120, 0.120, 0.465)
Ge (0.189, 0.189, 0.887)
Ge (0.378, 0.378, 0.750)
Ge (0.458, 0.458, 0.299)
Ge (0.542, 0.542, 0.701)
Ge (0.622, 0.622, 0.250)
Ge (0.811, 0.811, 0.113)
Ge (0.880, 0.880, 0.535)

Results
Its symmetry is C2/m.



Material: DyCo4Ge4
Method: DFT, PBE-GGA
State: relaxed

Cell lengths 5.775, 5.775, 7.953 Å; angles 90.00, 90.00, 90.00 degrees
Fractional coordinates of all 18 atoms:
Dy (0.250, 0.750, 0.250)
Dy (0.750, 0.250, 0.750)
Co (0.025, 0.250, 0.138)
Co (0.250, 0.025, 0.638)
Co (0.250, 0.475, 0.638)
Co (0.475, 0.250, 0.138)
Co (0.525, 0.750, 0.862)
Co (0.750, 0.525, 0.362)
Co (0.750, 0.975, 0.362)
Co (0.975, 0.750, 0.862)
Ge (0.034, 0.250, 0.433)
Ge (0.250, 0.034, 0.933)
Ge (0.250, 0.466, 0.933)
Ge (0.466, 0.250, 0.433)
Ge (0.534, 0.750, 0.567)
Ge (0.750, 0.534, 0.067)
Ge (0.750, 0.966, 0.067)
Ge (0.966, 0.750, 0.567)

Results
Its symmetry is P4_2/nmc.



Material: Dy4CoGe8
Method: DFT, PBE-GGA
State: relaxed

Cell lengths 4.007, 4.103, 16.040 Å; angles 90.00, 90.00, 90.00 degrees
Fractional coordinates of all 13 atoms:
Dy (0.000, 0.000, 0.000)
Dy (0.000, 0.500, 0.498)
Dy (0.500, 0.000, 0.790)
Dy (0.500, 0.500, 0.291)
Co (0.000, 0.500, 0.706)
Ge (0.000, 0.000, 0.341)
Ge (0.000, 0.000, 0.635)
Ge (0.000, 0.500, 0.144)
Ge (0.000, 0.500, 0.850)
Ge (0.500, 0.000, 0.148)
Ge (0.500, 0.000, 0.446)
Ge (0.500, 0.500, 0.635)
Ge (0.500, 0.500, 0.952)

Results
Its symmetry is Pmm2.



Material: Dy12Co6Ge
Method: DFT, PBE-GGA
State: relaxed

Cell lengths 8.304, 8.304, 8.304 Å; angles 109.47, 109.47, 109.47 degrees
Fractional coordinates of all 19 atoms:
Dy (0.107, 0.806, 0.301)
Dy (0.194, 0.301, 0.495)
Dy (0.194, 0.699, 0.893)
Dy (0.301, 0.107, 0.806)
Dy (0.301, 0.495, 0.194)
Dy (0.495, 0.194, 0.301)
Dy (0.505, 0.806, 0.699)
Dy (0.699, 0.505, 0.806)
Dy (0.699, 0.893, 0.194)
Dy (0.806, 0.301, 0.107)
Dy (0.806, 0.699, 0.505)
Dy (0.893, 0.194, 0.699)
Co (0.114, 0.614, 0.500)
Co (0.386, 0.500, 0.886)
Co (0.500, 0.114, 0.614)
Co (0.500, 0.886, 0.386)
Co (0.614, 0.500, 0.114)
Co (0.886, 0.386, 0.500)
Ge (0.000, 0.000, 0.000)

Results
Its symmetry is Im-3.



Material: Dy2Co3Ge5
Method: DFT, PBE-GGA
State: relaxed

Cell lengths 12.279, 12.279, 6.648 Å; angles 90.00, 90.00, 161.03 degrees
Fractional coordinates of all 20 atoms:
Dy (0.024, 0.976, 0.500)
Dy (0.326, 0.674, 0.488)
Dy (0.674, 0.326, 0.988)
Dy (0.976, 0.024, 0.000)
Co (0.108, 0.892, 0.232)
Co (0.279, 0.721, 0.999)
Co (0.447, 0.553, 0.282)
Co (0.553, 0.447, 0.782)
Co (0.721, 0.279, 0.499)
Co (0.892, 0.108, 0.732)
Ge (0.095, 0.905, 0.869)
Ge (0.205, 0.795, 0.292)
Ge (0.212, 0.788, 0.706)
Ge (0.380, 0.620, 0.986)
Ge (0.450, 0.550, 0.665)
Ge (0.550, 0.450, 0.165)
Ge (0.620, 0.380, 0.486)
Ge (0.788, 0.212, 0.206)
Ge (0.795, 0.205, 0.792)
Ge (0.905, 0.095, 0.369)

Results
Its symmetry is Cmc2_1. As for the distance to the lowest polymorph of the same formula: 75 meV/atom.



Material: DyCo3Ge3
Method: DFT, PBE-GGA
State: relaxed

Cell lengths 6.357, 6.357, 6.357 Å; angles 90.00, 90.00, 90.00 degrees
Fractional coordinates of all 14 atoms:
Dy (0.000, 0.000, 0.000)
Dy (0.500, 0.500, 0.500)
Co (0.000, 0.250, 0.500)
Co (0.000, 0.750, 0.500)
Co (0.250, 0.500, 0.000)
Co (0.500, 0.000, 0.250)
Co (0.500, 0.000, 0.750)
Co (0.750, 0.500, 0.000)
Ge (0.000, 0.500, 0.250)
Ge (0.000, 0.500, 0.750)
Ge (0.250, 0.000, 0.500)
Ge (0.500, 0.250, 0.000)
Ge (0.500, 0.750, 0.000)
Ge (0.750, 0.000, 0.500)

Results
Its symmetry is Pm-3n. As for the distance to the lowest polymorph of the same formula: 356 meV/atom.



Number 1: energy -5.590 eV/atom, formation energy -442 meV/atom. Number 2: energy -6.032 eV/atom, formation energy -310 meV/atom. Number 3: energy -5.438 eV/atom, formation energy -634 meV/atom. Number 4: energy -5.660 eV/atom, formation energy -267 meV/atom. Number 5: energy -5.875 eV/atom, formation energy -514 meV/atom. Number 6: energy -5.652 eV/atom, formation energy 30 meV/atom.